Below is crystalline CrTeOs2 at its relaxed geometry, with properties calculated at the PBE level.

Cell: 8.614 8.614 8.614 Å, 19.55 19.55 19.55°
Positions (direct):
Cr (0.748, 0.748, 0.748)
Os (0.002, 0.002, 0.002)
Os (0.253, 0.253, 0.253)
Te (0.496, 0.496, 0.496)

Uncorrected formation energy = 711 meV/atom
Fermi-level density of states = 3.475 states/eV/cell